Density functional theory data (GGA-PBE) for PrZr2In after structural relaxation.

Unit cell a=3.228 b=3.228 c=9.694 alpha=90.00 beta=90.00 gamma=90.00
Sites, in units of the cell vectors:
Pr (0.000, 0.000, 0.000)
Zr (0.500, 0.500, 0.278)
Zr (0.500, 0.500, 0.722)
In (0.000, 0.000, 0.500)

Output
DFT formation energy	-15	meV/atom

Density functional theory data (GGA-PBE) for PrZrIn after structural relaxation.

Unit cell a=7.816 b=7.041 c=5.313 alpha=77.09 beta=61.41 gamma=41.50
Sites, in units of the cell vectors:
Pr (0.174, 0.826, 0.174)
Pr (0.826, 0.174, 0.826)
Zr (0.250, 0.250, 0.250)
Zr (0.750, 0.750, 0.750)
In (0.381, 0.381, 0.619)
In (0.619, 0.619, 0.381)

Output
DFT formation energy	6	meV/atom

Density functional theory data (GGA-PBE) for Pr2ZrIn after structural relaxation.

Unit cell a=3.442 b=3.442 c=9.880 alpha=90.00 beta=90.00 gamma=90.00
Sites, in units of the cell vectors:
Pr (0.000, 0.000, 0.247)
Pr (0.000, 0.000, 0.753)
Zr (0.500, 0.500, 0.500)
In (0.500, 0.500, 0.000)

Output
DFT formation energy	-97	meV/atom